Record 1
K2PbAuBr6: optimized geometry, PBE-GGA.

Energy relative to the elements, uncorrected = -0.97 eV/atom
Uncorrected energy = -28.924 eV/cell
Space-group type = P1 (1)

Lattice parameters (Å, degrees): 8.2527 8.3563 7.8704 63.17 61.82 52.25
With the nearest neighbours (Å) after each atom.
Fractional positions:
Br (0.9794, 0.5888, 0.2269)  1 Au 2.57
Br (0.6617, 0.0846, 0.8052)  1 Au 2.57
Br (0.5138, 0.6626, 0.7613)  1 Pb 2.95, 1 K 3.28
Br (0.1222, 0.9723, 0.3071)  1 Pb 2.99, 2 K 3.30-3.31
Br (0.5378, 0.1875, 0.2753)  1 Au 2.65
Br (0.1171, 0.4513, 0.7756)  1 Au 2.65
Pb (0.8171, 0.8153, 0.5373)  6 Br 2.95-3.06
K (0.5532, 0.5217, 0.4002)  6 Br 3.31-3.61
K (0.0370, 0.0529, 0.8979)  5 Br 3.28-3.58
Au (0.3223, 0.3249, 0.0286)  4 Br 2.57-2.65

---

Record 2
K2PdAuBr6: optimized geometry, PBE-GGA.

Energy relative to the elements, uncorrected = -0.83 eV/atom
Uncorrected energy = -57.917 eV/cell
Space-group type = P2_1/c (14)

Lattice parameters (Å, degrees): 7.4968 7.5851 10.5651 90.00 91.13 90.00
With the nearest neighbours (Å) after each atom.
Fractional positions:
Au (0.5000, 0.0000, 0.0000)  6 Br 2.61-2.85
Au (0.0000, 0.5000, 0.5000)  6 Br 2.61-2.85
K (0.5116, 0.5465, 0.7478)  8 Br 3.43-3.70
K (0.4884, 0.4535, 0.2522)  8 Br 3.43-3.70
K (0.9884, 0.0465, 0.7522)  8 Br 3.43-3.70
K (0.0116, 0.9535, 0.2478)  8 Br 3.43-3.70
Br (0.5533, 0.0006, 0.2451)  1 Au 2.61, 1 Pd 2.73
Br (0.7941, 0.7704, 0.9733)  1 Pd 2.58, 1 Au 2.83
Br (0.7693, 0.7960, 0.5283)  1 Pd 2.56, 1 Au 2.85
Br (0.9467, 0.5006, 0.2549)  1 Au 2.61, 1 Pd 2.73
Br (0.0533, 0.4994, 0.7451)  1 Au 2.61, 1 Pd 2.73
Br (0.2307, 0.2040, 0.4717)  1 Pd 2.56, 1 Au 2.85
Br (0.7059, 0.2704, 0.5267)  1 Pd 2.58, 1 Au 2.83
Br (0.7307, 0.2960, 0.9717)  1 Pd 2.56, 1 Au 2.85
Br (0.4467, 0.9994, 0.7549)  1 Au 2.61, 1 Pd 2.73
Br (0.2693, 0.7040, 0.0283)  1 Pd 2.56, 1 Au 2.85
Br (0.2059, 0.2296, 0.0267)  1 Pd 2.58, 1 Au 2.83
Br (0.2941, 0.7296, 0.4733)  1 Pd 2.58, 1 Au 2.83
Pd (0.5000, 0.0000, 0.5000)  6 Br 2.56-2.73
Pd (0.0000, 0.5000, 0.0000)  6 Br 2.56-2.73

---

Record 3
KPuAuBr6: optimized geometry, PBE-GGA.

Energy relative to the elements, uncorrected = -1.07 eV/atom
Uncorrected energy = -76.768 eV/cell
Space-group type = P-31c (163)

Lattice parameters (Å, degrees): 7.2069 7.2069 14.9037 90.00 90.00 120.00
With the nearest neighbours (Å) after each atom.
Fractional positions:
Pu (0.3333, 0.6667, 0.7500)  6 Br 2.81
Pu (0.6667, 0.3333, 0.2500)  6 Br 2.81
Br (0.6361, 0.6405, 0.6398)  1 Pu 2.81, 1 Au 2.85
Br (0.3595, 0.3639, 0.8602)  1 Pu 2.81, 1 Au 2.85
Br (0.9956, 0.3595, 0.1398)  1 Pu 2.81, 1 Au 2.85
Br (0.3639, 0.3595, 0.3602)  1 Pu 2.81, 1 Au 2.85
Br (0.0044, 0.6405, 0.8602)  1 Pu 2.81, 1 Au 2.85
Br (0.6405, 0.6361, 0.1398)  1 Pu 2.81, 1 Au 2.85
Br (0.3595, 0.9956, 0.6398)  1 Pu 2.81, 1 Au 2.85
Br (0.6405, 0.0044, 0.3602)  1 Pu 2.81, 1 Au 2.85
Br (0.9956, 0.6361, 0.3602)  1 Pu 2.81, 1 Au 2.85
Br (0.0044, 0.3639, 0.6398)  1 Pu 2.81, 1 Au 2.85
Br (0.6361, 0.9956, 0.8602)  1 Pu 2.81, 1 Au 2.85
Br (0.3639, 0.0044, 0.1398)  1 Pu 2.81, 1 Au 2.85
K (0.0000, 0.0000, 0.0000)  6 Br 3.34
K (0.0000, 0.0000, 0.5000)  6 Br 3.34
Au (0.6667, 0.3333, 0.7500)  6 Br 2.85
Au (0.3333, 0.6667, 0.2500)  6 Br 2.85

---

Record 4
KRbAuBr: optimized geometry, PBE-GGA.

Energy relative to the elements, uncorrected = -0.98 eV/atom
Uncorrected energy = -10.945 eV/cell
E above lowest polymorph = 0.000 eV per atom
Space-group type = R3m (160)

Lattice parameters (Å, degrees): 4.7589 4.7597 8.8066 90.01 105.67 120.00
With the nearest neighbours (Å) after each atom.
Fractional positions:
Au (0.4768, 0.1364, 0.6284)  3 K 3.44, 3 Rb 3.55
Rb (0.9643, 0.3803, 0.3595)  3 Br 3.47, 3 Au 3.55
Br (0.1281, 0.9620, 0.1054)  3 K 3.35, 3 Rb 3.47
K (0.3087, 0.5521, 0.8763)  3 Br 3.35, 3 Au 3.44

---

Record 5
KRb2AuBr: optimized geometry, PBE-GGA.

Energy relative to the elements, uncorrected = -0.57 eV/atom
Uncorrected energy = -10.813 eV/cell
Space-group type = P4/mmm (123)

Lattice parameters (Å, degrees): 6.6089 6.6089 6.3106 90.00 90.00 90.00
With the nearest neighbours (Å) after each atom.
Fractional positions:
Br (0.5000, 0.5000, 0.5000)  8 Rb 4.57, 4 K 4.67
K (0.0000, 0.0000, 0.5000)  2 Au 3.16
Rb (0.0000, 0.5000, 0.0000)  2 Au 3.30
Rb (0.5000, 0.0000, 0.0000)  2 Au 3.30
Au (0.0000, 0.0000, 0.0000)  2 K 3.16, 4 Rb 3.30

---

Record 6
KRbAuBr: optimized geometry, PBE-GGA.

Energy relative to the elements, uncorrected = -0.96 eV/atom
Uncorrected energy = -10.841 eV/cell
E above lowest polymorph = 0.026 eV per atom
Space-group type = F-43m (216)

Lattice parameters (Å, degrees): 5.8361 5.8361 5.8361 60.00 60.00 60.00
With the nearest neighbours (Å) after each atom.
Fractional positions:
Rb (0.7500, 0.7500, 0.7500)  4 Br 3.57, 4 Au 3.57
Au (0.5000, 0.5000, 0.5000)  4 K 3.57, 4 Rb 3.57
Br (0.0000, 0.0000, 0.0000)  4 Rb 3.57, 4 K 3.57
K (0.2500, 0.2500, 0.2500)  4 Br 3.57, 4 Au 3.57

---

Record 7
K2RbAuBr6: optimized geometry, PBE-GGA.

Energy relative to the elements, uncorrected = -0.94 eV/atom
Uncorrected energy = -25.873 eV/cell
Space-group type = Fm-3m (225)

Lattice parameters (Å, degrees): 8.2817 8.2817 8.2817 60.00 60.00 60.00
With the nearest neighbours (Å) after each atom.
Fractional positions:
K (0.7500, 0.7500, 0.7500)  12 Br 4.15
K (0.2500, 0.2500, 0.2500)  12 Br 4.15
Rb (0.5000, 0.5000, 0.5000)  6 Br 3.20
Br (0.7732, 0.7732, 0.2268)  1 Au 2.66
Br (0.7732, 0.2268, 0.2268)  1 Au 2.66
Br (0.7732, 0.2268, 0.7732)  1 Au 2.66
Br (0.2268, 0.2268, 0.7732)  1 Au 2.66
Br (0.2268, 0.7732, 0.2268)  1 Au 2.66
Br (0.2268, 0.7732, 0.7732)  1 Au 2.66
Au (0.0000, 0.0000, 0.0000)  6 Br 2.66

---

Record 8
KRuAuBr6: optimized geometry, PBE-GGA.

Energy relative to the elements, uncorrected = -0.49 eV/atom
Uncorrected energy = -28.103 eV/cell
Space-group type = P1 (1)

Lattice parameters (Å, degrees): 7.4424 6.8737 7.0640 87.26 85.11 57.44
With the nearest neighbours (Å) after each atom.
Fractional positions:
Br (0.9484, 0.3873, 0.2608)  1 Ru 2.48
Br (0.6264, 0.9959, 0.2901)  1 Ru 2.58, 1 Au 2.64
Br (0.3867, 0.6611, 0.3334)  1 Ru 2.49, 1 Au 2.67
Br (0.6794, 0.3658, 0.7232)  1 Ru 2.47
Br (0.3858, 0.9815, 0.7213)  1 Ru 2.56, 1 Au 2.71
Br (0.9571, 0.6543, 0.6674)  1 Ru 2.51, 1 Au 2.61
Au (0.3230, 0.3436, 0.4997)  4 Br 2.61-2.71
Ru (0.6704, 0.6580, 0.5003)  6 Br 2.47-2.58
K (0.0227, 0.9525, 0.0038)  6 Br 3.31-3.44

---

Record 9
KRu2AuBr: optimized geometry, PBE-GGA.

Energy relative to the elements, uncorrected = 1.15 eV/atom
Uncorrected energy = -18.866 eV/cell
Space-group type = P4/mmm (123)

Lattice parameters (Å, degrees): 4.6754 5.7356 4.6754 90.00 90.00 90.00
With the nearest neighbours (Å) after each atom.
Fractional positions:
Br (0.0000, 0.0000, 0.0000)  4 Ru 2.34
Au (0.5000, 0.5000, 0.5000)  4 K 3.31, 8 Ru 3.70
Ru (0.0000, 0.0000, 0.5000)  2 Br 2.34
Ru (0.5000, 0.0000, 0.0000)  2 Br 2.34
K (0.0000, 0.5000, 0.0000)  2 Br 2.87

---

Record 10
KAu2SBr: optimized geometry, PBE-GGA.

Energy relative to the elements, uncorrected = 0.33 eV/atom
Uncorrected energy = -11.802 eV/cell
Space-group type = P4/mmm (123)

Lattice parameters (Å, degrees): 5.0857 6.0843 5.0857 90.00 90.00 90.00
With the nearest neighbours (Å) after each atom.
Fractional positions:
S (0.5000, 0.5000, 0.5000)  4 K 3.60, 8 Au 3.96
Au (0.0000, 0.0000, 0.5000)  2 Br 2.54
Au (0.5000, 0.0000, 0.0000)  2 Br 2.54
K (0.0000, 0.5000, 0.0000)  2 Br 3.04
Br (0.0000, 0.0000, 0.0000)  4 Au 2.54

---

Record 11
K2SbAuBr6: optimized geometry, PBE-GGA.

Energy relative to the elements, uncorrected = -0.97 eV/atom
Uncorrected energy = -29.285 eV/cell
E above lowest polymorph = 0.000 eV per atom
Space-group type = P1 (1)

Lattice parameters (Å, degrees): 8.1055 7.9646 8.7311 61.04 58.72 60.19
With the nearest neighbours (Å) after each atom.
Fractional positions:
Sb (0.3320, 0.3102, 0.0261)  4 Br 2.67-2.82
Br (0.2152, 0.9811, 0.2342)  1 Sb 2.67
Br (0.4658, 0.6909, 0.7167)  1 Au 2.43
Br (0.5720, 0.1905, 0.2294)  1 Sb 2.82
Br (0.7371, 0.1060, 0.7273)  1 Au 2.43
Br (0.1281, 0.4391, 0.7883)  1 Sb 2.81
Br (0.0142, 0.5403, 0.2415)  1 Sb 2.67
K (0.0377, 0.0124, 0.9397)  6 Br 3.30-3.42
K (0.5428, 0.5096, 0.3856)  6 Br 3.29-3.50
Au (0.6167, 0.8816, 0.7264)  2 Br 2.43

---

Record 12
K2SbAuBr6: optimized geometry, PBE-GGA.

Energy relative to the elements, uncorrected = -0.90 eV/atom
Uncorrected energy = -28.594 eV/cell
E above lowest polymorph = 0.069 eV per atom
Space-group type = Fm-3m (225)

Lattice parameters (Å, degrees): 7.9293 7.9293 7.9293 60.00 60.00 60.00
With the nearest neighbours (Å) after each atom.
Fractional positions:
K (0.2500, 0.2500, 0.2500)  12 Br 3.96
K (0.7500, 0.7500, 0.7500)  12 Br 3.96
Br (0.7492, 0.7492, 0.2508)  1 Au 2.79, 1 Sb 2.81
Br (0.7492, 0.2508, 0.7492)  1 Au 2.79, 1 Sb 2.81
Br (0.2508, 0.7492, 0.7492)  1 Au 2.79, 1 Sb 2.81
Br (0.2508, 0.2508, 0.7492)  1 Au 2.79, 1 Sb 2.81
Br (0.2508, 0.7492, 0.2508)  1 Au 2.79, 1 Sb 2.81
Br (0.7492, 0.2508, 0.2508)  1 Au 2.79, 1 Sb 2.81
Au (0.5000, 0.5000, 0.5000)  6 Br 2.79
Sb (0.0000, 0.0000, 0.0000)  6 Br 2.81